Computed, not measured: a geometry-optimized CaSc2Mn structure at the PBE level of DFT.

Values from the calculation:
SG: I4_1/amd
crystal system: tetragonal
DOS(E_F): 6.0 states/eV per cell
relative energy among the computed polymorphs: 55.1 kJ/mol of atoms
formation enthalpy at 0 K: 684 meV per atom
size of the total moment: 0.00 μB/cell

Structure (extended XYZ):
```
8
Lattice="7.0767 0.0000 0.0000 0.0000 7.0767 0.0000 3.5383 3.5383 5.0113" Properties=species:S:1:pos:R:3 pbc="T T T"
Sc 7.0763 5.3075 1.2528
Sc 5.3075 3.5379 3.7585
Sc 8.8458 3.5387 3.7585
Sc 7.0771 1.7692 1.2528
Ca 3.5383 7.0767 2.5056
Ca 3.5383 3.5383 0.0000
Mn 0.0000 0.0000 0.0000
Mn 7.0767 3.5383 2.5056
```